# 1
Computed, not measured: LuMnZn2 after structural relaxation at the PBE-GGA level of DFT.

Output
Its energy of formation from the pure elements is -0.117 eV per atom. Its crystal system is cubic.

Cell: 4.6320 4.6320 4.6320 Å, 60.00 60.00 60.00°
With the nearest neighbours (Å) after each atom.
Sites, in units of the cell vectors:
Mn 0.0000 0.0000 0.0000  8 Zn 2.84
Lu 0.5000 0.5000 0.5000  8 Zn 2.84
Zn 0.7500 0.7500 0.7500  4 Mn 2.84, 4 Lu 2.84
Zn 0.2500 0.2500 0.2500  4 Mn 2.84, 4 Lu 2.84

=====

# 2
Computed, not measured: BaTl2HgIr after structural relaxation at the PBE-GGA level of DFT.

Output
As for the energy above the most stable polymorph in this dataset: 0.00 eV/f.u. Its energy of formation from the pure elements is -0.134 eV per atom. Its crystal system is tetragonal.

Cell: 5.3227 5.3227 6.0617 Å, 90.00 90.00 90.00°
With the nearest neighbours (Å) after each atom.
Sites, in units of the cell vectors:
Ba 0.0000 0.0000 0.5000  2 Ir 3.03
Hg 0.5000 0.5000 0.5000  4 Ba 3.76, 8 Tl 4.03
Tl 0.5000 0.0000 0.0000  2 Ir 2.66
Ir 0.0000 0.0000 0.0000  4 Tl 2.66
Tl 0.0000 0.5000 0.0000  2 Ir 2.66

=====

# 3
Computed, not measured: CoReAsBr2 after structural relaxation at the PBE-GGA level of DFT.

Output
As for the energy above the most stable polymorph in this dataset: 0.00 eV/f.u. For the uncorrected formation energy, the calculation gives 1.161 eV per atom. Its crystal system is tetragonal.

Cell: 5.2196 5.2196 4.7676 Å, 90.00 90.00 90.00°
With the nearest neighbours (Å) after each atom.
Sites, in units of the cell vectors:
Co 0.5000 0.5000 0.5000  8 Br 3.53, 4 As 3.69
Br 0.5000 0.0000 0.0000  2 Re 2.61
Br 0.0000 0.5000 0.0000  2 Re 2.61
Re 0.0000 0.0000 0.0000  2 As 2.38, 4 Br 2.61
As 0.0000 0.0000 0.5000  2 Re 2.38

=====

# 4
Computed, not measured: CeAuSe after structural relaxation at the PBE-GGA level of DFT.

Output
For the uncorrected formation energy, the calculation gives -0.899 eV per atom. Its crystal system is orthorhombic.

Cell: 5.0001 3.8518 9.3185 Å, 101.93 105.56 90.00°
With the nearest neighbours (Å) after each atom.
Sites, in units of the cell vectors:
Au 0.7480 0.5000 0.0000  2 Au 2.48-2.52
Ce 0.1603 0.6603 0.3207  5 Se 2.93-3.16, 2 Au 3.08
Au 0.2520 0.5000 0.0000  2 Au 2.48-2.52
Se 0.3277 0.8277 0.6554  5 Ce 2.93-3.16
Se 0.6723 0.1723 0.3446  5 Ce 2.93-3.16
Ce 0.8397 0.3397 0.6793  5 Se 2.93-3.16, 2 Au 3.08

=====

# 5
Computed, not measured: Cs2Pm2PaTe6 after structural relaxation at the PBE-GGA level of DFT.

Output
For the uncorrected formation energy, the calculation gives -1.266 eV per atom. Its crystal system is monoclinic.

Cell: 7.8501 7.8501 9.5741 Å, 98.09 98.09 119.86°
With the nearest neighbours (Å) after each atom.
Sites, in units of the cell vectors:
Cs 0.1689 0.8311 0.0000  6 Te 3.86-3.88
Te 0.6090 0.9329 0.3085  1 Pa 3.10, 2 Pm 3.18
Pa 0.0000 0.0000 0.5000  6 Te 3.10
Te 0.2611 0.2611 0.3098  1 Pa 3.10, 2 Pm 3.18
Te 0.7389 0.7389 0.6902  1 Pa 3.10, 2 Pm 3.18
Te 0.0671 0.3910 0.6915  1 Pa 3.10, 2 Pm 3.18
Te 0.3910 0.0671 0.6915  1 Pa 3.10, 2 Pm 3.18
Te 0.9329 0.6090 0.3085  1 Pa 3.10, 2 Pm 3.18
Cs 0.8311 0.1689 0.0000  6 Te 3.86-3.88
Pm 0.3327 0.6673 0.5000  6 Te 3.18
Pm 0.6673 0.3327 0.5000  6 Te 3.18

=====

# 6
Computed, not measured: MnSiRhW after structural relaxation at the PBE-GGA level of DFT.

Output
For the uncorrected formation energy, the calculation gives -0.252 eV per atom. Its crystal system is cubic.

Cell: 4.2503 4.2503 4.2503 Å, 60.00 60.00 60.00°
With the nearest neighbours (Å) after each atom.
Sites, in units of the cell vectors:
Rh 0.0000 0.0000 0.0000  4 Mn 2.60, 4 Si 2.60
Mn 0.7500 0.7500 0.7500  4 W 2.60, 4 Rh 2.60
W 0.5000 0.5000 0.5000  4 Si 2.60, 4 Mn 2.60
Si 0.2500 0.2500 0.2500  4 Rh 2.60, 4 W 2.60

=====

# 7
Computed, not measured: Ac3La2Sm4 after structural relaxation at the PBE-GGA level of DFT.

Output
Its energy of formation from the pure elements is 0.037 eV per atom. Its crystal system is triclinic.

Cell: 5.3751 8.4446 8.4017 Å, 72.87 71.28 89.97°
With the nearest neighbours (Å) after each atom.
Sites, in units of the cell vectors:
Ac 0.0000 0.0000 0.0000  6 Sm 3.78-3.83, 2 La 3.79, 4 Ac 3.80
Ac 0.4436 0.6660 0.1132  3 La 3.75-3.80, 3 Ac 3.77-3.80, 6 Sm 3.80-3.83
Ac 0.5564 0.3340 0.8868  3 La 3.75-3.80, 3 Ac 3.77-3.80, 6 Sm 3.80-3.83
Sm 0.1148 0.6692 0.7703  4 Sm 3.69-3.88, 3 La 3.70-3.79, 5 Ac 3.78-3.83
Sm 0.3292 0.0026 0.3416  3 La 3.64-3.79, 5 Sm 3.67-3.76, 4 Ac 3.82-3.83
La 0.2250 0.3299 0.5506  6 Sm 3.64-3.79, 4 Ac 3.75-3.80, 2 La 3.83
Sm 0.6708 0.9974 0.6584  3 La 3.64-3.79, 5 Sm 3.67-3.76, 4 Ac 3.82-3.83
La 0.7750 0.6701 0.4494  6 Sm 3.64-3.79, 4 Ac 3.75-3.80, 2 La 3.83
Sm 0.8852 0.3308 0.2297  4 Sm 3.69-3.88, 3 La 3.70-3.79, 5 Ac 3.78-3.83

=====

# 8
Computed, not measured: SrIrRh2 after structural relaxation at the PBE-GGA level of DFT.

Output
As for the energy above the most stable polymorph in this dataset: 1.78 eV/f.u. Its energy of formation from the pure elements is 0.311 eV per atom. Its crystal system is tetragonal.

Cell: 4.9065 4.9065 9.0042 Å, 74.19 74.19 90.00°
With the nearest neighbours (Å) after each atom.
Sites, in units of the cell vectors:
Ir 0.7500 0.2500 0.5000  4 Rh 2.44
Rh 0.8750 0.0463 0.7500  2 Ir 2.44, 2 Rh 2.57
Rh 0.7963 0.1250 0.2500  2 Ir 2.44, 2 Rh 2.57
Rh 0.3750 0.2037 0.7500  2 Ir 2.44, 2 Rh 2.57
Rh 0.9537 0.6250 0.2500  2 Ir 2.44, 2 Rh 2.57
Sr 0.2500 0.7500 0.5000  4 Rh 3.18, 4 Ir 3.47
Sr 0.5000 0.5000 0.0000  4 Rh 3.18, 4 Ir 3.47
Ir 0.0000 0.0000 0.0000  4 Rh 2.44

=====

no.,N(E_F) (states/eV/f.u.),V (Å³ per atom)
1,2.9,17.6
2,2.5,34.3
3,9.6,26.0
4,7.5,28.1
5,2.5,44.6
6,1.5,13.6
7,15.5,38.1
8,5.5,25.0